Density functional theory data (PBE with a Hubbard U) for an optimized crystal structure of La2VFeO.

Computed properties:
- theoretical density (Mg/m³) = 5.97
- DOS(E_F) (states/eV per cell) = 4.32
- electronic total energy (eV per atom) = -6.09

POSCAR file:
```
La2VFeO
1.0
-3.394 3.257 2.373
-2.785 -0.902 -2.746
-1.695 -3.968 3.023
V Fe O La
1 1 1 2
Direct
0.500 0.500 0.500 V
0.000 0.500 0.000 Fe
0.000 0.000 0.000 O
0.000 0.000 0.500 La
0.500 0.000 0.000 La
```

Density functional theory data (PBE with a Hubbard U) for an optimized crystal structure of LaVZnFeO6.

Computed properties:
- theoretical density (Mg/m³) = 5.71
- electronic total energy (eV per atom) = -7.00

POSCAR file:
```
LaVZnFeO6
1.0
-2.159 -4.655 -2.432
3.439 -3.062 2.808
-1.726 -3.659 8.537
La V Zn Fe O
2 2 2 2 12
Direct
0.800 0.263 0.753 La
0.200 0.263 0.253 La
0.278 0.502 0.505 V
0.722 0.502 0.005 V
0.149 0.773 0.748 Zn
0.851 0.773 0.248 Zn
0.270 0.014 0.996 Fe
0.730 0.014 0.496 Fe
0.774 0.131 0.248 O
0.947 0.745 0.051 O
0.947 0.355 0.451 O
0.053 0.355 0.951 O
0.053 0.745 0.551 O
0.226 0.131 0.748 O
0.241 0.818 0.253 O
0.447 0.242 0.459 O
0.469 0.657 0.038 O
0.531 0.657 0.538 O
0.553 0.242 0.959 O
0.759 0.818 0.753 O
```

Density functional theory data (PBE with a Hubbard U) for an optimized crystal structure of LaFeWO6.

Computed properties:
- theoretical density (Mg/m³) = 6.54
- DOS(E_F) (states/eV per cell) = 0.00
- electronic total energy (eV per atom) = -7.56

POSCAR file:
```
LaFeWO6
1.0
5.518 0.000 0.000
0.002 7.824 0.000
0.000 0.000 5.580
La Fe W O
2 2 2 12
Direct
0.991 0.248 0.037 La
0.491 0.748 0.463 La
0.496 0.499 0.995 Fe
0.996 0.999 0.505 Fe
0.998 0.498 0.509 W
0.498 0.998 0.991 W
0.551 0.755 0.010 O
0.051 0.255 0.490 O
0.235 0.974 0.222 O
0.735 0.474 0.278 O
0.226 0.530 0.240 O
0.726 0.030 0.260 O
0.926 0.745 0.510 O
0.426 0.245 0.990 O
0.276 0.538 0.714 O
0.776 0.038 0.786 O
0.289 0.964 0.718 O
0.789 0.464 0.782 O
```

Density functional theory data (PBE with a Hubbard U) for an optimized crystal structure of La2ZnFeO6.

Computed properties:
- theoretical density (Mg/m³) = 6.78
- electronic total energy (eV per atom) = -6.96

POSCAR file:
```
La2ZnFeO6
1.0
5.497 0.048 0.008
2.873 4.843 0.011
2.854 1.603 4.583
Zn Fe O La
1 1 6 2
Direct
0.500 0.500 0.500 Zn
0.000 0.000 0.000 Fe
0.242 0.695 0.235 O
0.744 0.169 0.314 O
0.237 0.246 0.833 O
0.758 0.305 0.765 O
0.763 0.754 0.167 O
0.256 0.831 0.686 O
0.746 0.750 0.752 La
0.254 0.250 0.248 La
```

Question: Look up the theoretical density of the second one.
Answer: 5.71 Mg/m³

Question: Which of these has the highest theoretical density?
Answer: La2ZnFeO6

Question: Which of these has the lowest theoretical density?
Answer: LaVZnFeO6